No. 1
Sm2AlHPd6: optimized geometry, GGA-PBE.

Results
symmetry	C2/m, No. 12
VASP energy	-55.18	eV per cell
V	17.17	Å³/atom

extended XYZ file:
```
10
Lattice="4.983 -2.872 0.000 4.983 2.872 0.000 -3.277 0.000 5.999" Properties=species:S:1:pos:R:3 pbc="T T T"
Sm 1.673 0.000 1.076
Sm 5.017 0.000 4.923
Al 4.983 0.000 0.000
H -1.638 0.000 3.000
Pd 2.523 1.440 4.147
Pd 0.033 0.000 4.148
Pd 4.167 1.440 1.852
Pd 2.523 -1.440 4.147
Pd 6.657 0.000 1.851
Pd 4.167 -1.440 1.852
```


No. 2
Sr2AlHPd6: optimized geometry, GGA-PBE.

Results
symmetry	C2/m, No. 12
VASP energy	-47.57	eV per cell
V	18.00	Å³/atom

extended XYZ file:
```
10
Lattice="5.131 -2.964 0.000 5.131 2.964 0.000 -3.478 0.000 5.917" Properties=species:S:1:pos:R:3 pbc="T T T"
Sr 1.692 0.000 1.052
Sr 5.092 0.000 4.865
Al 5.131 0.000 0.000
H -1.739 0.000 2.959
Pd -0.013 0.000 4.050
Pd 2.517 1.453 4.055
Pd 4.267 1.453 1.863
Pd 2.517 -1.453 4.055
Pd 4.267 -1.453 1.863
Pd 6.797 0.000 1.868
```


No. 3
Ta2AlHPd: optimized geometry, GGA-PBE.

Results
symmetry	P4/mmm, No. 123
polymorph energy (0 for the lowest one)	0	meV/atom
VASP energy	-37.22	eV per cell
V	13.83	Å³/atom

extended XYZ file:
```
5
Lattice="3.947 0.000 0.000 0.000 3.947 0.000 0.000 0.000 4.438" Properties=species:S:1:pos:R:3 pbc="T T T"
Ta 0.000 1.974 0.000
Ta 1.974 0.000 0.000
Al 0.000 0.000 2.219
H 1.974 1.974 0.000
Pd 1.974 1.974 2.219
```


No. 4
TbAlHPd: optimized geometry, GGA-PBE.

Results
symmetry	P4/nmm, No. 129
VASP energy	-39.89	eV per cell
V	15.89	Å³/atom

extended XYZ file:
```
8
Lattice="4.068 0.000 0.000 0.000 4.068 0.000 0.000 0.000 7.686" Properties=species:S:1:pos:R:3 pbc="T T T"
Tb 1.017 1.017 1.094
Tb 3.051 3.051 6.591
Al 1.017 3.051 3.843
Al 3.051 1.017 3.843
H 1.017 3.051 0.000
H 3.051 1.017 0.000
Pd 1.017 1.017 5.352
Pd 3.051 3.051 2.333
```


No. 5
Tb2AlHPd6: optimized geometry, GGA-PBE.

Results
symmetry	C2/m, No. 12
VASP energy	-55.20	eV per cell
V	16.82	Å³/atom

extended XYZ file:
```
10
Lattice="4.935 -2.853 0.000 4.935 2.853 0.000 -3.284 0.000 5.974" Properties=species:S:1:pos:R:3 pbc="T T T"
Tb 1.647 0.000 1.039
Tb 4.939 0.000 4.935
Al 4.935 0.000 0.000
H -1.642 0.000 2.987
Pd -0.001 0.000 4.139
Pd 2.472 1.427 4.135
Pd 4.114 1.427 1.838
Pd 2.472 -1.427 4.135
Pd 4.114 -1.427 1.838
Pd 6.588 0.000 1.835
```


No. 6
AlTe2H2Pd7: optimized geometry, GGA-PBE.

Results
symmetry	C2/m, No. 12
VASP energy	-57.26	eV per cell
V	14.86	Å³/atom

extended XYZ file:
```
12
Lattice="2.842 -2.840 0.000 2.842 2.840 0.000 -2.829 0.000 11.047" Properties=species:S:1:pos:R:3 pbc="T T T"
Al 0.000 0.000 0.000
Te 0.002 0.000 4.266
Te 2.853 0.000 6.781
H 0.019 0.000 9.107
H 2.837 0.000 1.940
Pd 1.419 1.419 1.914
Pd 0.005 0.000 7.003
Pd 1.436 1.419 9.133
Pd 2.842 0.000 0.000
Pd 1.419 -1.419 1.914
Pd 2.850 0.000 4.044
Pd 1.436 -1.419 9.133
```


No. 7
AlV2HPd: optimized geometry, GGA-PBE.

Results
symmetry	P4/mmm, No. 123
polymorph energy (0 for the lowest one)	0	meV/atom
VASP energy	-32.08	eV per cell
V	11.76	Å³/atom

extended XYZ file:
```
5
Lattice="3.665 0.000 0.000 0.000 3.665 0.000 0.000 0.000 4.380" Properties=species:S:1:pos:R:3 pbc="T T T"
Al 0.000 0.000 0.000
V 0.000 1.832 2.190
V 1.832 0.000 2.190
H 1.832 1.832 2.190
Pd 1.832 1.832 0.000
```


No. 8
Y2AlHPd6: optimized geometry, GGA-PBE.

Results
symmetry	C2/m, No. 12
VASP energy	-58.81	eV per cell
V	16.79	Å³/atom

extended XYZ file:
```
10
Lattice="4.941 -2.849 0.000 4.941 2.849 0.000 -3.246 0.000 5.966" Properties=species:S:1:pos:R:3 pbc="T T T"
Y 1.658 0.000 1.020
Y 4.977 0.000 4.946
Al 4.941 0.000 0.000
H -1.623 0.000 2.983
Pd 2.502 1.430 4.131
Pd 0.033 0.000 4.129
Pd 4.133 1.430 1.835
Pd 2.502 -1.430 4.131
Pd 6.602 0.000 1.837
Pd 4.133 -1.430 1.835
```


No. 9
Y2AlHPd: optimized geometry, GGA-PBE.

Results
symmetry	P4/mmm, No. 123
VASP energy	-28.04	eV per cell
V	18.74	Å³/atom

extended XYZ file:
```
5
Lattice="4.995 0.000 0.000 0.000 4.995 0.000 0.000 0.000 3.755" Properties=species:S:1:pos:R:3 pbc="T T T"
Y 0.000 2.498 0.000
Y 2.498 0.000 0.000
Al 0.000 0.000 1.878
H 2.498 2.498 0.000
Pd 2.498 2.498 1.878
```


No. 10
Pm3AlH: optimized geometry, GGA-PBE.

Results
symmetry	C2/m, No. 12
polymorph energy (0 for the lowest one)	12	meV/atom
VASP energy	-45.29	eV per cell
V	24.29	Å³/atom

extended XYZ file:
```
10
Lattice="7.602 -1.861 0.000 7.602 1.861 0.000 -1.342 0.000 8.585" Properties=species:S:1:pos:R:3 pbc="T T T"
Pm 0.356 0.000 2.274
Pm 2.861 0.000 5.718
Pm 5.308 0.000 0.418
Pm 8.554 0.000 8.167
Pm 11.001 0.000 2.867
Pm 13.507 0.000 6.311
Al 5.748 0.000 3.690
Al 8.115 0.000 4.894
H 2.727 0.000 1.280
H 11.135 0.000 7.305
```


No. 11
Pm2AlH: optimized geometry, GGA-PBE.

Results
symmetry	R-3m, No. 166
polymorph energy (0 for the lowest one)	22	meV/atom
VASP energy	-17.52	eV per cell
V	22.22	Å³/atom

extended XYZ file:
```
4
Lattice="1.844 1.065 7.546 -1.844 1.065 7.546 0.000 -2.129 7.546" Properties=species:S:1:pos:R:3 pbc="T T T"
Pm 0.000 0.000 5.241
Pm 0.000 0.000 17.396
Al 0.000 0.000 0.000
H 0.000 0.000 11.319
```


No. 12
Pm2AlH: optimized geometry, GGA-PBE.

Results
symmetry	P4/mmm, No. 123
polymorph energy (0 for the lowest one)	112	meV/atom
VASP energy	-17.16	eV per cell
V	21.02	Å³/atom

extended XYZ file:
```
4
Lattice="3.348 0.000 0.000 0.000 3.348 0.000 0.000 0.000 7.498" Properties=species:S:1:pos:R:3 pbc="T T T"
Pm 0.000 0.000 1.709
Pm 0.000 0.000 5.789
Al 1.674 1.674 3.749
H 1.674 1.674 0.000
```